(1)
The following is a PBE calculation of a relaxed MnGe2Ir crystal, from Alexandria.

Unit cell a=6.4664 b=6.4664 c=5.1854 alpha=97.02 beta=97.02 gamma=35.43
Fractional coordinates of all 8 atoms:
Mn1 0.0000 0.0000 0.0000
Mn2 0.0000 0.0000 0.5000
Ge1 0.1832 0.1832 0.8113
Ge2 0.4410 0.4410 0.7358
Ge3 0.5590 0.5590 0.2642
Ge4 0.8168 0.8168 0.1887
Ir1 0.1924 0.1924 0.3122
Ir2 0.8076 0.8076 0.6878

Summary:
* symmetry: C2/m
* formation energy: -0.17 eV/atom
* magnetization: 4.53 Bohr magnetons per cell
* DFT total energy: -6.9893 eV per atom

(2)
The following is a PBE calculation of a relaxed Na2Tl3Hg2 crystal, from Alexandria.

Unit cell a=6.0622 b=6.0622 c=7.0166 alpha=91.20 beta=91.20 gamma=48.74
Fractional coordinates of all 7 atoms:
Na1 0.0872 0.0872 0.2083
Na2 0.9128 0.9128 0.7917
Tl1 0.2111 0.2111 0.6657
Tl2 0.5000 0.5000 0.5000
Tl3 0.7889 0.7889 0.3343
Hg1 0.3703 0.3703 0.0711
Hg2 0.6297 0.6297 0.9289

Summary:
* symmetry: C2/m
* formation energy: -0.13 eV/atom
* magnetization: 0.00 Bohr magnetons per cell
* DFT total energy: -1.6086 eV per atom

(3)
The following is a PBE calculation of a relaxed Cs2Na3Au2 crystal, from Alexandria.

Unit cell a=7.1629 b=7.1629 c=8.8213 alpha=115.57 beta=115.57 gamma=41.60
Fractional coordinates of all 7 atoms:
Cs1 0.1422 0.1422 0.2874
Cs2 0.8578 0.8578 0.7126
Na1 0.3448 0.3448 0.0691
Na2 0.5000 0.5000 0.5000
Na3 0.6552 0.6552 0.9309
Au1 0.1334 0.1334 0.7081
Au2 0.8666 0.8666 0.2919

Summary:
* symmetry: C2/m
* formation energy: -0.19 eV/atom
* magnetization: 0.00 Bohr magnetons per cell
* DFT total energy: -1.9348 eV per atom

(4)
The following is a PBE calculation of a relaxed SrNiTeN2 crystal, from Alexandria.

Unit cell a=4.2291 b=4.2291 c=5.1991 alpha=90.00 beta=90.00 gamma=90.00
Fractional coordinates of all 5 atoms:
Sr1 0.0000 0.0000 0.0000
Ni1 0.5000 0.5000 0.5000
Te1 0.5000 0.5000 0.0000
N1 0.0000 0.5000 0.5000
N2 0.5000 0.0000 0.5000

Summary:
* ΔE_f (raw): 0.7578 eV per atom
* energy above the most stable polymorph in this dataset: 0.000 eV/atom
* symmetry: P4/mmm
* magnetization: 3.12 Bohr magnetons per cell
* DFT total energy: -4.6933 eV per atom

(5)
The following is a PBE calculation of a relaxed Zn8Cu2Pt crystal, from Alexandria.

Unit cell a=6.8385 b=6.8385 c=4.4321 alpha=100.94 beta=100.94 gamma=120.41
Fractional coordinates of all 11 atoms:
Zn1 0.0936 0.3190 0.6389
Zn2 0.2174 0.7826 0.0000
Zn3 0.3190 0.0936 0.6389
Zn4 0.4039 0.4039 0.2026
Zn5 0.5961 0.5961 0.7974
Zn6 0.6810 0.9064 0.3611
Zn7 0.7826 0.2174 0.0000
Zn8 0.9064 0.6810 0.3611
Cu1 0.3050 0.6950 0.5000
Cu2 0.6950 0.3050 0.5000
Pt1 0.0000 0.0000 0.0000

Summary:
* energy above the most stable polymorph in this dataset: 0.069 eV/atom
* symmetry: C2/m
* formation energy: -0.07 eV/atom
* magnetization: 0.00 Bohr magnetons per cell
* DFT total energy: -2.2894 eV per atom

(6)
The following is a PBE calculation of a relaxed MnHgAu2 crystal, from Alexandria.

Unit cell a=5.0444 b=5.0444 c=5.0444 alpha=130.29 beta=130.29 gamma=72.95
Fractional coordinates of all 4 atoms:
Mn1 0.0000 0.0000 0.0000
Hg1 0.7500 0.2500 0.5000
Au1 0.2500 0.7500 0.5000
Au2 0.5000 0.5000 0.0000

Summary:
* symmetry: I-4m2
* formation energy: 0.06 eV/atom
* magnetization: 4.23 Bohr magnetons per cell
* DFT total energy: -3.9446 eV per atom

(7)
The following is a PBE calculation of a relaxed In2Ni4C crystal, from Alexandria.

Unit cell a=7.2376 b=7.2376 c=7.2376 alpha=149.61 beta=149.61 gamma=43.52
Fractional coordinates of all 7 atoms:
In1 0.1644 0.1644 0.0000
In2 0.8356 0.8356 0.0000
Ni1 0.0000 0.5000 0.5000
Ni2 0.3630 0.3630 0.0000
Ni3 0.5000 0.0000 0.5000
Ni4 0.6370 0.6370 0.0000
C1 0.5000 0.5000 0.0000

Summary:
* symmetry: I4/mmm
* formation energy: 0.01 eV/atom
* magnetization: 0.00 Bohr magnetons per cell
* DFT total energy: -5.3970 eV per atom

(8)
The following is a PBE calculation of a relaxed CdSiP2 crystal, from Alexandria.

Unit cell a=6.6541 b=6.6541 c=6.6541 alpha=129.01 beta=129.01 gamma=74.99
Fractional coordinates of all 8 atoms:
Cd1 0.0000 0.0000 0.0000
Cd2 0.7500 0.2500 0.5000
Si1 0.2500 0.7500 0.5000
Si2 0.5000 0.5000 0.0000
P1 0.1714 0.6250 0.0464
P2 0.3750 0.4214 0.5464
P3 0.5786 0.1250 0.9536
P4 0.8750 0.8286 0.4536

Summary:
* ΔE_f (raw): -0.2003 eV per atom
* energy above the most stable polymorph in this dataset: 0.000 eV/atom
* symmetry: I-42d
* magnetization: 0.00 Bohr magnetons per cell
* DFT total energy: -4.4898 eV per atom